# 1
{
  "formula": "SnPbIBr3",
  "functional": "PBE",
  "state": "relaxed",
  "total_magnetization_mub_per_cell": 0.0,
  "density_g_cm3": 4.322,
  "space_group": "Cmcm",
  "e_form_raw_ev_per_atom": -0.756,
  "e_tot_ev_per_cell": -37.6,
  "lattice": [[-0.347, -2.671, -3.534], [9.828, 1.746, 0.508], [1.367, -9.807, 7.278]],
  "species": ["Br", "Br", "I", "Br", "Br", "Br", "Br", "Pb", "Pb", "Sn", "Sn", "I"],
  "frac_coords": [[0.006, 0.013, 0.250], [0.392, 0.783, 0.996], [0.763, 0.526, 0.750], [0.608, 0.217, 0.496], [0.392, 0.783, 0.504], [0.608, 0.217, 0.004], [0.994, 0.987, 0.750], [0.000, 0.000, 0.000], [0.000, 0.000, 0.500], [0.370, 0.739, 0.750], [0.630, 0.261, 0.250], [0.237, 0.474, 0.250]]
}


# 2
{
  "formula": "Sn2PbIBr",
  "functional": "PBE",
  "state": "relaxed",
  "total_magnetization_mub_per_cell": 0.0,
  "density_g_cm3": 4.948,
  "space_group": "P4/mmm",
  "e_form_raw_ev_per_atom": 0.314,
  "e_tot_ev_per_cell": -13.4,
  "lattice": [[-5.462, -1.406, -2.083], [2.528, -3.053, -4.567], [0.010, -4.996, 3.345]],
  "species": ["Br", "Sn", "Pb", "I", "Sn"],
  "frac_coords": [[0.500, 0.500, 0.500], [0.500, 0.000, 0.000], [0.000, 0.000, 0.000], [0.000, 0.500, 0.000], [0.000, 0.000, 0.500]]
}


# 3
{
  "formula": "SnPb3I2Br6",
  "functional": "PBE",
  "state": "relaxed",
  "total_magnetization_mub_per_cell": 0.0,
  "density_g_cm3": 5.083,
  "space_group": "C2/m",
  "e_form_raw_ev_per_atom": -0.787,
  "e_tot_ev_per_cell": -37.7,
  "lattice": [[6.983, 0.000, 0.632], [0.000, 8.862, 0.000], [-0.213, -4.431, 7.760]],
  "species": ["Br", "Pb", "Pb", "I", "Br", "Br", "Br", "Pb", "Br", "I", "Br", "Sn"],
  "frac_coords": [[0.731, 0.831, 0.661], [0.500, 0.500, 0.500], [0.000, 0.500, 0.000], [0.789, 0.320, 0.641], [0.259, 0.168, 0.847], [0.259, 0.679, 0.847], [0.741, 0.321, 0.153], [0.500, 0.000, 0.500], [0.741, 0.832, 0.153], [0.211, 0.680, 0.359], [0.269, 0.169, 0.339], [0.500, 0.000, 0.000]]
}